# 1
The following is a DFT calculation (PBE) of a relaxed structure of AlIn2Sb.

abc: 6.482 6.482 6.482
angles: 148.65 132.98 57.61
Atoms (fractional coordinates):
In 0.037 0.037 0.000
In 0.750 0.250 0.500
Al 0.256 0.756 0.500
Sb 0.457 0.457 0.000

Output
Its space-group type is Imm2 (44). Its uncorrected formation energy is 0.12 eV per atom. The value obtained for the energy above the most stable polymorph in this dataset is 47 meV/atom. The total energy comes out at -3.22 eV per atom.


# 2
The following is a DFT calculation (PBE) of a relaxed structure of HgH2Rh.

abc: 4.214 4.214 5.842
angles: 68.86 68.86 90.00
Atoms (fractional coordinates):
H 0.484 0.125 0.250
H 0.266 0.625 0.250
Rh 0.250 0.750 0.500
Rh 0.500 0.500 0.000
Hg 0.000 0.000 0.000
H 0.375 0.516 0.750
Hg 0.750 0.250 0.500
H 0.875 0.734 0.750

Output
Its space-group type is I-42d (122). The value obtained for the energy above the most stable polymorph in this dataset is 121 meV/atom. The total energy comes out at -3.43 eV per atom.


# 3
The following is a DFT calculation (PBE) of a relaxed structure of Ba6Si6CN14.

abc: 5.545 16.546 16.546
angles: 120.00 90.00 90.00
Atoms (fractional coordinates):
N 0.751 0.847 0.152
N 0.000 0.426 0.111
N 0.251 0.515 0.486
N 0.751 0.180 0.818
C 0.000 0.667 0.333
Ba 0.000 0.017 0.824
N 0.224 0.667 0.333
Ba 0.000 0.492 0.837
N 0.000 0.761 0.778
Si 0.500 0.982 0.552
N 0.724 0.333 0.667
N 0.249 0.305 0.153
N 0.249 0.638 0.820
Si 0.000 0.448 0.018
Ba 0.000 0.474 0.318
Ba 0.500 0.349 0.862
Si 0.000 0.904 0.219
Si 0.500 0.903 0.684
N 0.500 0.555 0.906
N 0.500 0.094 0.649
N 0.251 0.971 0.485
N 0.500 0.017 0.776
N 0.776 0.667 0.333
N 0.751 0.638 0.820
N 0.000 0.557 0.650
Ba 0.000 0.344 0.508
Si 0.000 0.982 0.430
N 0.000 0.889 0.316
Ba 0.500 0.827 0.321
N 0.500 0.683 0.110
Ba 0.500 0.513 0.651
Ba 0.500 0.828 0.838
N 0.500 0.427 0.317
N 0.776 0.000 0.000
N 0.749 0.515 0.486
N 0.751 0.305 0.153
Si 0.500 0.781 0.097
Si 0.000 0.114 0.351
Si 0.500 0.316 0.219
Ba 0.500 0.679 0.506
N 0.000 0.684 0.574
N 0.249 0.847 0.152
C 0.500 0.333 0.667
Si 0.000 0.315 0.096
N 0.500 0.759 0.983
N 0.249 0.180 0.818
N 0.249 0.848 0.695
Ba 0.000 0.844 0.526
N 0.500 0.890 0.573
Si 0.500 0.648 0.885
N 0.276 0.333 0.667
Ba 0.000 0.176 0.194
Si 0.000 0.649 0.763
N 0.749 0.971 0.485
N 0.000 0.018 0.239
Ba 0.500 0.162 0.990
N 0.500 0.351 0.445
Ba 0.000 0.806 0.983
N 0.000 0.350 0.908
Ba 0.000 0.163 0.656
N 0.249 0.182 0.362
Ba 0.500 0.138 0.487
Si 0.500 0.570 0.018
C 0.000 0.000 0.000
N 0.251 0.514 0.029
Ba 0.500 0.010 0.172
N 0.500 0.224 0.241
Si 0.500 0.115 0.763
Si 0.000 0.570 0.552
Ba 0.000 0.682 0.156
Si 0.500 0.448 0.430
Si 0.000 0.237 0.886
Si 0.500 0.237 0.352
Si 0.000 0.781 0.685
N 0.751 0.848 0.695
Ba 0.500 0.494 0.173
N 0.000 0.222 0.982
N 0.224 0.000 0.000
N 0.751 0.182 0.362
N 0.000 0.092 0.443
N 0.749 0.514 0.029

Output
Its space-group type is P-6 (174). Its uncorrected formation energy is -1.02 eV per atom. The total energy comes out at -7.31 eV per atom.


Calculated volume, respectively: 25.7; 11.2; 16.2 Å³/atom.